The following is a PBE calculation of a geometry-optimized RbSrCu structure, from OQMD.

Lattice parameters (Å, degrees): 5.5830 5.5830 5.5830 60.00 60.00 60.00
Last column: nearest neighbours and their distance in Å.
Positions (direct):
Sr 0.7500 0.7500 0.7500  4 Cu 3.42
Cu 0.0000 0.0000 0.0000  4 Rb 3.42, 4 Sr 3.42
Rb 0.2500 0.2500 0.2500  4 Cu 3.42

- SG: F-43m
- Energy: -1.8279 eV/atom
- E above lowest polymorph: 0.000 eV/f.u.


The following is a PBE calculation of a geometry-optimized RbTaCu structure, from OQMD.

Lattice parameters (Å, degrees): 4.8078 4.8078 4.8078 60.00 60.00 60.00
Last column: nearest neighbours and their distance in Å.
Positions (direct):
Cu 0.0000 0.0000 0.0000  4 Rb 2.94, 4 Ta 2.94
Ta 0.7500 0.7500 0.7500  4 Cu 2.94
Rb 0.2500 0.2500 0.2500  4 Cu 2.94

- SG: F-43m
- Energy: -3.4902 eV/atom
- E above lowest polymorph: 0.000 eV/f.u.


The following is a PBE calculation of a geometry-optimized RbTaCu structure, from OQMD.

Lattice parameters (Å, degrees): 5.2238 5.2238 5.2238 60.00 60.00 60.00
Last column: nearest neighbours and their distance in Å.
Positions (direct):
Rb 0.0000 0.0000 0.0000  4 Cu 3.20, 4 Ta 3.20
Cu 0.2500 0.2500 0.2500  4 Rb 3.20
Ta 0.7500 0.7500 0.7500  4 Rb 3.20

- SG: F-43m
- Energy: -2.7784 eV/atom
- E above lowest polymorph: 2.135 eV/f.u.


The following is a PBE calculation of a geometry-optimized RbTbCuTe3 structure, from OQMD.

Lattice parameters (Å, degrees): 8.5967 8.5967 11.3761 90.00 90.00 151.50
Last column: nearest neighbours and their distance in Å.
Positions (direct):
Te 0.1264 0.8736 0.9361  1 Cu 2.62
Te 0.1264 0.8736 0.5639  1 Cu 2.62
Tb 0.5000 0.5000 0.0000  6 Te 3.04-3.07
Cu 0.9663 0.0337 0.2500  4 Te 2.62-2.67
Te 0.5641 0.4358 0.2500  2 Cu 2.67
Te 0.8736 0.1264 0.4361  1 Cu 2.62
Te 0.4358 0.5641 0.7500  2 Cu 2.67
Cu 0.0337 0.9663 0.7500  4 Te 2.62-2.67
Rb 0.2455 0.7545 0.2500  8 Te 3.68-4.09
Rb 0.7545 0.2455 0.7500  8 Te 3.68-4.09
Tb 0.5000 0.5000 0.5000  6 Te 3.04-3.07
Te 0.8736 0.1264 0.0639  1 Cu 2.62

- SG: Cmcm
- Energy: -4.0407 eV/atom


What did the second record say?
The following is a PBE calculation of a geometry-optimized RbTaCu structure, from OQMD.

Lattice parameters (Å, degrees): 4.8078 4.8078 4.8078 60.00 60.00 60.00
Last column: nearest neighbours and their distance in Å.
Positions (direct):
Cu 0.0000 0.0000 0.0000  4 Rb 2.94, 4 Ta 2.94
Ta 0.7500 0.7500 0.7500  4 Cu 2.94
Rb 0.2500 0.2500 0.2500  4 Cu 2.94

- SG: F-43m
- Energy: -3.4902 eV/atom
- E above lowest polymorph: 0.000 eV/f.u.